KBaSe2: optimized geometry, PBE-GGA.

Values from the calculation:
The calculation puts the formation energy (no corrections) at -486 kJ/mol of formula units. The calculation puts the density of states at the Fermi level at 1.8 states/eV/f.u. Its symmetry is No. 160.

a = 4.893 Å, b = 4.893 Å, c = 7.661 Å
α = 71.38°, β = 71.38°, γ = 60.00°
Atoms (fractional coordinates):
K  0.495  0.495  0.514
Ba  0.669  0.669  0.992
Se  0.085  0.085  0.744
Se  0.250  0.250  0.250

=====

NbPdF3: optimized geometry, PBE-GGA.

Values from the calculation:
The calculation puts the formation energy (no corrections) at -208 kJ/mol of formula units. The calculation puts the density of states at the Fermi level at 8.8 states/eV/f.u. Its symmetry is No. 221.

a = 4.309 Å, b = 4.309 Å, c = 4.309 Å
α = 90.00°, β = 90.00°, γ = 90.00°
Atoms (fractional coordinates):
Nb  0.500  0.500  0.500
Pd  0.000  0.000  0.000
F  0.000  0.500  0.000
F  0.000  0.000  0.500
F  0.500  0.000  0.000

=====

Pm2Ge4Pt3Au: optimized geometry, PBE-GGA.

Values from the calculation:
The calculated formation energy is -19.48 kcal/mol of atoms. The calculation puts the density of states at the Fermi level at 5.6 states/eV/f.u. Its symmetry is No. 115.

a = 4.397 Å, b = 4.397 Å, c = 10.136 Å
α = 90.00°, β = 90.00°, γ = 90.00°
Atoms (fractional coordinates):
Pm  0.500  0.000  0.249
Pm  0.000  0.500  0.751
Ge  0.500  0.500  0.000
Ge  0.000  0.000  0.000
Ge  0.500  0.000  0.637
Ge  0.000  0.500  0.363
Pt  0.000  0.000  0.500
Pt  0.500  0.000  0.879
Pt  0.000  0.500  0.121
Au  0.500  0.500  0.500

=====

MgAlNi3: optimized geometry, PBE-GGA.

Values from the calculation:
The calculated formation energy is 20.55 kcal/mol of atoms. The calculation puts the density of states at the Fermi level at 3.8 states/eV/f.u. Its symmetry is No. 221.

a = 4.271 Å, b = 4.271 Å, c = 4.271 Å
α = 90.00°, β = 90.00°, γ = 90.00°
Atoms (fractional coordinates):
Ni  0.000  0.500  0.000
Ni  0.000  0.000  0.500
Ni  0.500  0.000  0.000
Mg  0.000  0.000  0.000
Al  0.500  0.500  0.500

=====

LaTa2CrPd: optimized geometry, PBE-GGA.

Values from the calculation:
The calculated formation energy is 12.69 kcal/mol of atoms. The calculation puts the density of states at the Fermi level at 7.8 states/eV/f.u. Its symmetry is No. 123.

a = 4.622 Å, b = 5.048 Å, c = 4.622 Å
α = 90.00°, β = 90.00°, γ = 90.00°
Atoms (fractional coordinates):
Cr  0.000  0.000  0.000
La  0.500  0.500  0.500
Pd  0.000  0.500  0.000
Ta  0.000  0.000  0.500
Ta  0.500  0.000  0.000

=====

Ta3Nb8Pt2: optimized geometry, PBE-GGA.

Values from the calculation:
The calculated formation energy is -5.20 kcal/mol of atoms. The calculation puts the density of states at the Fermi level at 10.4 states/eV/f.u. Its symmetry is No. 2.

a = 5.439 Å, b = 7.137 Å, c = 7.192 Å
α = 61.74°, β = 69.54°, γ = 77.63°
Atoms (fractional coordinates):
Ta  0.000  0.500  0.500
Ta  0.222  0.961  0.114
Ta  0.778  0.039  0.886
Nb  0.375  0.264  0.197
Nb  0.625  0.736  0.803
Nb  0.914  0.347  0.964
Nb  0.086  0.653  0.036
Nb  0.843  0.196  0.422
Nb  0.310  0.116  0.655
Nb  0.690  0.884  0.345
Nb  0.157  0.804  0.578
Pt  0.538  0.582  0.259
Pt  0.462  0.418  0.741

=====

NbReS4: optimized geometry, PBE-GGA.

Values from the calculation:
The calculation puts the formation energy (no corrections) at -324 kJ/mol of formula units. The calculation puts the density of states at the Fermi level at 3.4 states/eV/f.u. Its symmetry is No. 14.

a = 5.377 Å, b = 6.840 Å, c = 6.903 Å
α = 124.04°, β = 90.00°, γ = 90.00°
Atoms (fractional coordinates):
Nb  0.000  0.500  0.500
Nb  0.500  0.000  0.500
Re  0.500  0.500  0.000
Re  0.000  0.000  0.000
S  0.204  0.821  0.170
S  0.296  0.321  0.170
S  0.794  0.673  0.313
S  0.294  0.827  0.687
S  0.706  0.173  0.313
S  0.206  0.327  0.687
S  0.704  0.679  0.830
S  0.796  0.179  0.830

=====

Tb2Nd5Ru4: optimized geometry, PBE-GGA.

Values from the calculation:
The calculated formation energy is 2.05 kcal/mol of atoms. The calculation puts the density of states at the Fermi level at 14.0 states/eV/f.u. Its symmetry is No. 12.

a = 3.892 Å, b = 7.021 Å, c = 11.940 Å
α = 107.16°, β = 99.38°, γ = 90.00°
Atoms (fractional coordinates):
Tb  0.738  0.736  0.475
Tb  0.262  0.264  0.525
Nd  0.123  0.864  0.247
Nd  0.877  0.136  0.753
Nd  0.123  0.381  0.246
Nd  0.500  0.000  0.000
Nd  0.877  0.619  0.754
Ru  0.561  0.561  0.122
Ru  0.000  0.682  0.001
Ru  0.439  0.439  0.878
Ru  0.000  0.318  0.999

=====

Cs2ZnH: optimized geometry, PBE-GGA.

Values from the calculation:
The calculated total energy is -1.3326 eV per atom. The calculation puts the density of states at the Fermi level at 3.7 states/eV/f.u. Its symmetry is No. 225.

a = 6.136 Å, b = 6.136 Å, c = 6.136 Å
α = 60.00°, β = 60.00°, γ = 60.00°
Atoms (fractional coordinates):
Cs  0.250  0.250  0.250
Cs  0.750  0.750  0.750
H  0.000  0.000  0.000
Zn  0.500  0.500  0.500

=====

Ti2MnAu: optimized geometry, PBE-GGA.

Values from the calculation:
The calculated formation energy is -4.70 kcal/mol of atoms. The calculation puts the density of states at the Fermi level at 3.4 states/eV/f.u. Its symmetry is No. 123.

a = 3.267 Å, b = 4.321 Å, c = 4.321 Å
α = 90.00°, β = 90.00°, γ = 90.00°
Atoms (fractional coordinates):
Mn  0.500  0.500  0.500
Au  0.500  0.000  0.000
Ti  0.000  0.000  0.500
Ti  0.000  0.500  0.000

=====

NaGa2Co: optimized geometry, PBE-GGA.

Values from the calculation:
The calculated formation energy is 2.90 kcal/mol of atoms. The calculation puts the density of states at the Fermi level at 3.3 states/eV/f.u. Its symmetry is No. 225.

a = 4.406 Å, b = 4.406 Å, c = 4.406 Å
α = 60.00°, β = 60.00°, γ = 60.00°
Atoms (fractional coordinates):
Na  0.000  0.000  0.000
Co  0.500  0.500  0.500
Ga  0.250  0.250  0.250
Ga  0.750  0.750  0.750

=====

Er5Ni2Au: optimized geometry, PBE-GGA.

Values from the calculation:
The calculated formation energy is -11.20 kcal/mol of atoms. The calculation puts the density of states at the Fermi level at 8.3 states/eV/f.u. Its symmetry is No. 140.

a = 7.531 Å, b = 7.531 Å, c = 8.366 Å
α = 116.75°, β = 116.75°, γ = 90.00°
Atoms (fractional coordinates):
Er  0.524  0.699  0.723
Er  0.801  0.976  0.277
Er  0.000  0.000  0.000
Er  0.500  0.500  0.000
Er  0.199  0.024  0.723
Er  0.699  0.199  0.723
Er  0.024  0.524  0.723
Er  0.301  0.801  0.277
Er  0.976  0.476  0.277
Er  0.476  0.301  0.277
Ni  0.127  0.373  0.000
Ni  0.627  0.127  0.000
Ni  0.373  0.873  0.000
Ni  0.873  0.627  0.000
Au  0.750  0.750  0.500
Au  0.250  0.250  0.500

=====

LiInF2: optimized geometry, PBE-GGA.

Values from the calculation:
The calculation puts the formation energy (no corrections) at -747 kJ/mol of formula units. The calculation puts the density of states at the Fermi level at 0.7 states/eV/f.u. Its symmetry is No. 123.

a = 2.895 Å, b = 2.895 Å, c = 6.474 Å
α = 90.00°, β = 90.00°, γ = 90.00°
Atoms (fractional coordinates):
F  0.000  0.000  0.805
F  0.000  0.000  0.195
Li  0.500  0.500  0.000
In  0.500  0.500  0.500

=====

Na2AgBi: optimized geometry, PBE-GGA.

Values from the calculation:
The calculated formation energy is -2.92 kcal/mol of atoms. The calculation puts the density of states at the Fermi level at 1.3 states/eV/f.u. Its symmetry is No. 123.

a = 3.384 Å, b = 3.384 Å, c = 9.124 Å
α = 90.00°, β = 90.00°, γ = 90.00°
Atoms (fractional coordinates):
Na  0.000  0.000  0.771
Na  0.000  0.000  0.229
Bi  0.500  0.500  0.500
Ag  0.500  0.500  0.000